1.
Below is a relaxed Li2Ca2Se crystal, with properties calculated at the PBE-GGA level.

Cell: 7.244 7.244 4.834 Å, 90.00 90.00 90.00°
Site moments in Bohr magnetons follow the coordinates.
Sites, in units of the cell vectors:
Se (0.000, 0.000, 0.000)  0.01
Li (0.641, 0.141, 0.000)  0.04
Ca (0.171, 0.671, 0.500)  0.11
Ca (0.829, 0.329, 0.500)  0.11
Li (0.359, 0.859, 0.000)  0.04
Ca (0.671, 0.829, 0.500)  0.12
Li (0.859, 0.641, 0.000)  0.04
Se (0.500, 0.500, 0.000)  0.01
Ca (0.329, 0.171, 0.500)  0.12
Li (0.141, 0.359, 0.000)  0.04

Summary:
Excess energy over the best structure of this formula in the dataset ... 0.000 eV/atom
Formation energy from raw total energies ... -0.4447 eV per atom
Symmetry ... P4/mbm (127)
Calculated volume ... 126.84 Å³/f.u.
Fermi-level density of states ... 6.0 states/eV/cell

***

2.
Below is a relaxed Mg2ZnTe crystal, with properties calculated at the PBE-GGA level.

Cell: 7.645 7.645 6.430 Å, 53.52 53.52 90.00°
Sites, in units of the cell vectors:
Mg (0.619, 0.125, 0.250)
Mg (0.375, 0.381, 0.750)
Te (0.750, 0.250, 0.500)
Mg (0.875, 0.869, 0.750)
Mg (0.131, 0.625, 0.250)
Te (0.000, 0.000, 0.000)
Zn (0.250, 0.750, 0.500)
Zn (0.500, 0.500, 0.000)

Summary:
Excess energy over the best structure of this formula in the dataset ... 0.114 eV/atom
Formation energy from raw total energies ... -0.1298 eV per atom
Symmetry ... I-42d (122)
Calculated volume ... 101.75 Å³/f.u.
Fermi-level density of states ... 1.6 states/eV/cell

***

3.
Below is a relaxed Sc4Ga2Tc crystal, with properties calculated at the PBE-GGA level.

Cell: 4.995 4.995 7.602 Å, 70.82 70.82 90.00°
Sites, in units of the cell vectors:
Sc (0.000, 0.500, 0.000)
Sc (0.816, 0.816, 0.368)
Ga (0.612, 0.612, 0.777)
Ga (0.388, 0.388, 0.223)
Sc (0.500, 0.000, 0.000)
Sc (0.184, 0.184, 0.632)
Tc (0.000, 0.000, 0.000)

Summary:
Symmetry ... I4/mmm (139)
Formation energy from the elements ... 0.16 eV per formula unit
Calculated volume ... 167.94 Å³/f.u.
Fermi-level density of states ... 7.2 states/eV/cell

***

4.
Below is a relaxed VHgS2 crystal, with properties calculated at the PBE-GGA level.

Cell: 16.148 5.835 5.740 Å, 90.00 135.26 90.00°
Site moments in Bohr magnetons follow the coordinates.
Sites, in units of the cell vectors:
S (0.584, 0.233, 0.721)  -0.06
S (0.416, 0.767, 0.279)  -0.06
S (0.586, 0.770, 0.119)  -0.06
S (0.916, 0.733, 0.779)  -0.06
V (0.968, 0.500, 0.187)  1.02
Hg (0.749, 0.254, 0.558)  0.00
Hg (0.251, 0.746, 0.442)  0.00
V (0.468, 0.000, 0.687)  1.02
V (0.032, 0.500, 0.813)  1.02
S (0.414, 0.230, 0.881)  -0.06
S (0.084, 0.267, 0.221)  -0.06
S (0.086, 0.730, 0.619)  -0.06
Hg (0.249, 0.246, 0.058)  0.00
S (0.914, 0.270, 0.381)  -0.06
Hg (0.751, 0.754, 0.942)  0.00
V (0.532, 0.000, 0.313)  1.02

Summary:
Formation energy from raw total energies ... -0.4898 eV per atom
Symmetry ... P2_1/c (14)
Calculated volume ... 95.17 Å³/f.u.
Fermi-level density of states ... 3.0 states/eV/cell

***

5.
Below is a relaxed Er5Sb2N crystal, with properties calculated at the PBE-GGA level.

Cell: 4.511 8.228 13.448 Å, 90.00 90.00 105.91°
Sites, in units of the cell vectors:
Er (0.101, 0.202, 0.382)
N (0.813, 0.626, 0.750)
Er (0.737, 0.473, 0.250)
Sb (0.911, 0.821, 0.124)
Er (0.899, 0.798, 0.882)
Sb (0.911, 0.821, 0.376)
Er (0.899, 0.798, 0.618)
Er (0.304, 0.609, 0.439)
Er (0.696, 0.391, 0.561)
Er (0.101, 0.202, 0.118)
Er (0.263, 0.527, 0.750)
Sb (0.089, 0.179, 0.876)
Er (0.696, 0.391, 0.939)
Er (0.304, 0.609, 0.061)
Sb (0.089, 0.179, 0.624)
N (0.187, 0.374, 0.250)

Summary:
Formation energy from raw total energies ... -0.5247 eV per atom
Symmetry ... Cmcm (63)
Calculated volume ... 240.04 Å³/f.u.
Fermi-level density of states ... 11.7 states/eV/cell

***

6.
Below is a relaxed Cu2SiBr crystal, with properties calculated at the PBE-GGA level.

Cell: 5.194 5.194 5.194 Å, 144.54 111.74 79.34°
Sites, in units of the cell vectors:
Cu (0.971, 0.971, 0.000)
Cu (0.529, 0.529, 0.000)
Si (0.750, 0.250, 0.500)
Br (0.250, 0.750, 0.500)

Summary:
Excess energy over the best structure of this formula in the dataset ... 0.490 eV/atom
Formation energy from raw total energies ... 0.4152 eV per atom
Symmetry ... Immm (71)
Calculated volume ... 73.69 Å³/f.u.
Fermi-level density of states ... 1.7 states/eV/cell

***

7.
Below is a relaxed CeGa2Ag4 crystal, with properties calculated at the PBE-GGA level.

Cell: 4.324 4.332 7.768 Å, 106.19 90.00 90.00°
Site moments in Bohr magnetons follow the coordinates.
Sites, in units of the cell vectors:
Ag (0.000, 0.317, 0.635)  0.00
Ga (0.500, 0.582, 0.164)  0.01
Ag (0.500, 0.817, 0.633)  0.00
Ga (0.500, 0.418, 0.836)  0.01
Ag (0.500, 0.183, 0.367)  0.00
Ce (0.000, 0.000, 0.000)  0.76
Ag (0.000, 0.683, 0.365)  0.00

Summary:
Excess energy over the best structure of this formula in the dataset ... 0.000 eV/atom
Symmetry ... Cmmm (65)
Formation energy from the elements ... -1.51 eV per formula unit
Calculated volume ... 139.74 Å³/f.u.
Fermi-level density of states ... 9.1 states/eV/cell

***

8.
Below is a relaxed Tl12Hg3Bi crystal, with properties calculated at the PBE-GGA level.

Cell: 4.911 4.911 20.078 Å, 90.00 90.00 90.00°
Sites, in units of the cell vectors:
Hg (0.000, 0.000, 0.500)
Tl (0.500, 0.000, 0.875)
Tl (0.000, 0.500, 0.125)
Tl (0.000, 0.500, 0.875)
Tl (0.000, 0.500, 0.378)
Tl (0.500, 0.500, 0.748)
Tl (0.500, 0.500, 0.000)
Tl (0.500, 0.500, 0.252)
Tl (0.500, 0.500, 0.500)
Tl (0.500, 0.000, 0.125)
Bi (0.000, 0.000, 0.000)
Tl (0.500, 0.000, 0.378)
Hg (0.000, 0.000, 0.257)
Hg (0.000, 0.000, 0.743)
Tl (0.000, 0.500, 0.622)
Tl (0.500, 0.000, 0.622)

Summary:
Symmetry ... P4/mmm (123)
Formation energy from the elements ... 0.08 eV per formula unit
Calculated volume ... 484.33 Å³/f.u.
Fermi-level density of states ... 7.4 states/eV/cell